# PBE RbVAs2, optimized geometry
# Spin magnetization (Bohr magnetons per cell): 3.1
# SG: Fm-3m
# ΔH_f (0 K) (eV/f.u.): 1.9
data_RbVAs2
_chemical_formula_sum 'Rb1 V1 As2'
_cell_length_a 5.0212
_cell_length_b 5.0212
_cell_length_c 5.0212
_cell_angle_alpha 60.00
_cell_angle_beta 60.00
_cell_angle_gamma 60.00
_space_group_name_H-M_alt 'P 1'
_space_group_IT_number 1
_space_group_name_Hall 'P 1'
loop_
_atom_site_label
_atom_site_type_symbol
_atom_site_fract_x
_atom_site_fract_y
_atom_site_fract_z
Rb1 Rb 0.0000 0.0000 0.0000
V1 V 0.5000 0.5000 0.5000
As1 As 0.2500 0.2500 0.2500
As2 As 0.7500 0.7500 0.7500



# PBE RbV2As2, optimized geometry
# Spin magnetization (Bohr magnetons per cell): 0.0
# SG: P4/mbm
# ΔH_f (0 K) (eV/f.u.): 0.3
data_RbV2As2
_chemical_formula_sum 'Rb2 V4 As4'
_cell_length_a 8.7275
_cell_length_b 8.7275
_cell_length_c 3.2507
_cell_angle_alpha 90.00
_cell_angle_beta 90.00
_cell_angle_gamma 90.00
_space_group_name_H-M_alt 'P 1'
_space_group_IT_number 1
_space_group_name_Hall 'P 1'
loop_
_atom_site_label
_atom_site_type_symbol
_atom_site_fract_x
_atom_site_fract_y
_atom_site_fract_z
Rb1 Rb 0.0000 0.0000 0.0000
Rb2 Rb 0.5000 0.5000 0.0000
V1 V 0.0796 0.4204 0.5000
V2 V 0.4204 0.9204 0.5000
V3 V 0.5796 0.0796 0.5000
V4 V 0.9204 0.5796 0.5000
As1 As 0.1455 0.6455 0.0000
As2 As 0.3545 0.1455 0.0000
As3 As 0.6455 0.8545 0.0000
As4 As 0.8545 0.3545 0.0000